(1)
The following is a GGA-PBE calculation of a relaxed CdNiSbAu crystal, from OQMD via LeMat-Bulk.

Its size of the total moment is 0.01 μB per cell. The value obtained for the distance to the lowest polymorph of the same formula is 0 meV/atom.

The structure belongs to space group F-43m (No. 216); the cell edges are 6.6629, 6.6629 and 6.6629 Å and the angles 90.00°, 90.00° and 90.00°. The distinct sites, in fractional coordinates, are Cd at (0.0000, 0.0000, 0.0000), Ni at (0.2500, 0.2500, 0.2500), Sb at (0.0000, 0.0000, 0.5000) and Au at (0.2500, 0.2500, 0.7500).

***

(2)
The following is a GGA-PBE calculation of a relaxed Cd2AuO4 crystal, from OQMD via LeMat-Bulk.

The total energy comes out at -214.250 eV for the cell shown.

The structure belongs to space group Fd-3m (No. 227, origin choice 2); the cell edges are 9.2760, 9.2760 and 9.2760 Å and the angles 90.00°, 90.00° and 90.00°. The distinct sites, in fractional coordinates, are Cd at (0.0000, 0.0000, 0.0000), Au at (0.1250, 0.1250, 0.6250) and O at (0.0048, 0.0048, 0.2452).

***

(3)
The following is a GGA-PBE calculation of a relaxed CdAuO3 crystal, from OQMD via LeMat-Bulk.

The total energy comes out at -121.486 eV for the cell shown.

The structure belongs to space group R-3c (No. 167, hexagonal axes); the cell edges are 5.7121, 5.7121 and 13.1302 Å and the angles 90.00°, 90.00° and 120.00°. The distinct sites, in fractional coordinates, are Cd at (0.0000, 0.0000, 0.2500), Au at (0.0000, 0.0000, 0.0000) and O at (0.0000, 0.3837, 0.2500).

***

(4)
The following is a GGA-PBE calculation of a relaxed CdAuO3 crystal, from OQMD via LeMat-Bulk.

The total energy comes out at -81.926 eV for the cell shown.

The structure belongs to space group Pnma (No. 62); the cell edges are 5.6313, 8.0352 and 5.4535 Å and the angles 90.00°, 90.00° and 90.00°. The distinct sites, in fractional coordinates, are Cd at (0.0542, 0.2500, 0.0156), Au at (0.0000, 0.0000, 0.5000), O at (0.0603, 0.7500, 0.3776) and O at (0.2043, 0.5737, 0.8000).

***

(5)
The following is a GGA-PBE calculation of a relaxed Cd2Au2O5 crystal, from OQMD via LeMat-Bulk.

The value obtained for the distance to the lowest polymorph of the same formula is 0 meV/atom.

The structure belongs to space group P4/mmm (No. 123); the cell edges are 4.1231, 4.1231 and 6.8521 Å and the angles 90.00°, 90.00° and 90.00°. The distinct sites, in fractional coordinates, are Cd at (0.0000, 0.0000, 0.0000), Cd at (0.0000, 0.0000, 0.5000), Au at (0.5000, 0.5000, 0.1951), O at (0.0000, 0.5000, 0.2253) and O at (0.5000, 0.5000, 0.5000).

***

(6)
The following is a GGA-PBE calculation of a relaxed CdAuO3 crystal, from OQMD via LeMat-Bulk.

The total energy comes out at -121.859 eV for the cell shown.

The structure belongs to space group R-3 (No. 148, hexagonal axes); the cell edges are 5.5743, 5.5743 and 14.6966 Å and the angles 90.00°, 90.00° and 120.00°. The distinct sites, in fractional coordinates, are Cd at (0.0000, 0.0000, 0.1332), Au at (0.0000, 0.0000, 0.3431) and O at (0.0201, 0.3793, 0.9224).

***

Copy entry 1 word for word.
The following is a GGA-PBE calculation of a relaxed CdNiSbAu crystal, from OQMD via LeMat-Bulk.

Its size of the total moment is 0.01 μB per cell. The value obtained for the distance to the lowest polymorph of the same formula is 0 meV/atom.

The structure belongs to space group F-43m (No. 216); the cell edges are 6.6629, 6.6629 and 6.6629 Å and the angles 90.00°, 90.00° and 90.00°. The distinct sites, in fractional coordinates, are Cd at (0.0000, 0.0000, 0.0000), Ni at (0.2500, 0.2500, 0.2500), Sb at (0.0000, 0.0000, 0.5000) and Au at (0.2500, 0.2500, 0.7500).